Entry from the Alexandria database: a relaxed ErBeGa crystal (PBE-GGA).

DFT formation energy, eV/atom: -0.412
Space group: P-6m2
Magnetic moment, μB per atom: 0.00
ΔE to the lowest computed polymorph, eV/atom: 0.0091

a b c (Å): 4.150 4.150 3.589
angles (deg): 90.00 90.00 120.00
Fractional coordinates of all 3 atoms:
Er: 0.000 0.000 0.000
Be: 0.333 0.667 0.500
Ga: 0.667 0.333 0.500

=====

Entry from the Alexandria database: a relaxed Tb5Nd5Dy crystal (PBE-GGA).

DFT formation energy, eV/atom: 0.254
Space group: C2/m
Magnetic moment, μB per atom: 0.04

a b c (Å): 9.977 9.977 7.045
angles (deg): 110.55 110.55 35.22
Fractional coordinates of all 11 atoms:
Tb: 0.000 0.000 0.000
Tb: 0.331 0.331 0.330
Tb: 0.377 0.377 0.876
Tb: 0.623 0.623 0.124
Tb: 0.669 0.669 0.670
Nd: 0.175 0.175 0.920
Nd: 0.176 0.176 0.431
Nd: 0.500 0.500 0.500
Nd: 0.824 0.824 0.569
Nd: 0.825 0.825 0.080
Dy: 0.000 0.000 0.500

=====

Entry from the Alexandria database: a relaxed NaScSi2O crystal (PBE-GGA).

E_form (uncorrected), kcal/mol of atoms: -3.94
Space group: P4/mmm
Magnetic moment, μB per atom: 0.00

a b c (Å): 5.415 5.415 3.905
angles (deg): 90.00 90.00 90.00
Fractional coordinates of all 5 atoms:
Na: 0.000 0.000 0.000
Sc: 0.500 0.500 0.500
Si: 0.000 0.500 0.500
Si: 0.500 0.000 0.500
O: 0.500 0.500 0.000

=====

Entry from the Alexandria database: a relaxed Sc2OsC crystal (PBE-GGA).

DFT formation energy, eV/atom: 0.962
Space group: R-3m
Magnetic moment, μB per atom: 0.00

a b c (Å): 3.159 3.159 25.231
angles (deg): 90.00 90.00 120.00
Fractional coordinates of all 12 atoms:
Sc: 0.000 0.000 0.087
Sc: 0.000 0.000 0.913
Sc: 0.333 0.667 0.580
Sc: 0.333 0.667 0.753
Sc: 0.667 0.333 0.247
Sc: 0.667 0.333 0.420
Os: 0.000 0.000 0.500
Os: 0.333 0.667 0.167
Os: 0.667 0.333 0.833
C: 0.000 0.000 0.000
C: 0.333 0.667 0.667
C: 0.667 0.333 0.333

=====

Entry from the Alexandria database: a relaxed Pu2ThNiN4 crystal (PBE-GGA).

E_form (uncorrected), kcal/mol of atoms: -25.83
Space group: Cmcm
Magnetic moment, μB per atom: 1.00

a b c (Å): 5.877 5.877 11.477
angles (deg): 90.00 90.00 145.86
Fractional coordinates of all 16 atoms:
Pu: 0.131 0.869 0.558
Pu: 0.131 0.869 0.942
Pu: 0.869 0.131 0.058
Pu: 0.869 0.131 0.442
Th: 0.393 0.607 0.750
Th: 0.607 0.393 0.250
Ni: 0.340 0.660 0.250
Ni: 0.660 0.340 0.750
N: 0.050 0.950 0.750
N: 0.229 0.771 0.118
N: 0.229 0.771 0.382
N: 0.500 0.500 0.000
N: 0.500 0.500 0.500
N: 0.771 0.229 0.618
N: 0.771 0.229 0.882
N: 0.950 0.050 0.250

=====

Entry from the Alexandria database: a relaxed ZrAl4Rh5 crystal (PBE-GGA).

DFT formation energy, eV/atom: -1.029
Space group: P4/mmm
Magnetic moment, μB per atom: 0.00

a b c (Å): 2.986 2.986 16.129
angles (deg): 90.00 90.00 90.00
Fractional coordinates of all 10 atoms:
Zr: 0.000 0.000 0.000
Al: 0.000 0.000 0.214
Al: 0.000 0.000 0.405
Al: 0.000 0.000 0.595
Al: 0.000 0.000 0.786
Rh: 0.500 0.500 0.124
Rh: 0.500 0.500 0.313
Rh: 0.500 0.500 0.500
Rh: 0.500 0.500 0.687
Rh: 0.500 0.500 0.876

=====

Entry from the Alexandria database: a relaxed BaPSe2 crystal (PBE-GGA).

E_form (uncorrected), kcal/mol of atoms: -15.09
Space group: P4mm
Magnetic moment, μB per atom: 0.00
ΔE to the lowest computed polymorph, eV/atom: 0.2548

a b c (Å): 4.369 4.369 6.467
angles (deg): 90.00 90.00 90.00
Fractional coordinates of all 4 atoms:
Ba: 0.000 0.000 0.000
P: 0.500 0.500 0.523
Se: 0.000 0.000 0.496
Se: 0.500 0.500 0.876

=====

Entry from the Alexandria database: a relaxed TbYErAl crystal (PBE-GGA).

DFT formation energy, eV/atom: -0.065
Space group: F-43m
Magnetic moment, μB per atom: 0.02
ΔE to the lowest computed polymorph, eV/atom: 0.1315

a b c (Å): 7.560 7.560 7.560
angles (deg): 90.00 90.00 90.00
Fractional coordinates of all 16 atoms:
Tb: 0.000 0.000 0.000
Tb: 0.000 0.500 0.500
Tb: 0.500 0.000 0.500
Tb: 0.500 0.500 0.000
Y: 0.000 0.000 0.500
Y: 0.000 0.500 0.000
Y: 0.500 0.000 0.000
Y: 0.500 0.500 0.500
Er: 0.250 0.250 0.750
Er: 0.250 0.750 0.250
Er: 0.750 0.250 0.250
Er: 0.750 0.750 0.750
Al: 0.250 0.250 0.250
Al: 0.250 0.750 0.750
Al: 0.750 0.250 0.750
Al: 0.750 0.750 0.250

=====

Entry from the Alexandria database: a relaxed Ca5Ga2I2 crystal (PBE-GGA).

E_form (uncorrected), kcal/mol of atoms: -17.76
Space group: Cmce
Magnetic moment, μB per atom: 0.00

a b c (Å): 9.250 9.250 8.280
angles (deg): 90.00 90.00 53.01
Fractional coordinates of all 18 atoms:
Ca: 0.000 0.000 0.000
Ca: 0.050 0.722 0.663
Ca: 0.222 0.550 0.163
Ca: 0.278 0.950 0.663
Ca: 0.450 0.778 0.163
Ca: 0.500 0.500 0.500
Ca: 0.550 0.222 0.837
Ca: 0.722 0.050 0.337
Ca: 0.778 0.450 0.837
Ca: 0.950 0.278 0.337
Ga: 0.128 0.872 0.372
Ga: 0.372 0.628 0.872
Ga: 0.628 0.372 0.128
Ga: 0.872 0.128 0.628
I: 0.214 0.214 0.000
I: 0.286 0.286 0.500
I: 0.714 0.714 0.500
I: 0.786 0.786 0.000

=====

Entry from the Alexandria database: a relaxed LiPrSn2 crystal (PBE-GGA).

DFT formation energy, eV/atom: -0.581
Space group: P4/mmm
Magnetic moment, μB per atom: 0.00
ΔE to the lowest computed polymorph, eV/atom: 0.0032

a b c (Å): 4.716 4.716 4.591
angles (deg): 90.00 90.00 90.00
Fractional coordinates of all 4 atoms:
Li: 0.000 0.000 0.000
Pr: 0.500 0.500 0.000
Sn: 0.000 0.500 0.500
Sn: 0.500 0.000 0.500

=====

Entry from the Alexandria database: a relaxed Sb2Au2Br crystal (PBE-GGA).

E_form (uncorrected), kcal/mol of atoms: 0.11
Space group: I4/mmm
Magnetic moment, μB per atom: 0.00
ΔE to the lowest computed polymorph, eV/atom: 0.0000

a b c (Å): 4.201 4.201 14.523
angles (deg): 90.00 90.00 90.00
Fractional coordinates of all 10 atoms:
Sb: 0.000 0.000 0.120
Sb: 0.000 0.000 0.880
Sb: 0.500 0.500 0.380
Sb: 0.500 0.500 0.620
Au: 0.000 0.500 0.250
Au: 0.000 0.500 0.750
Au: 0.500 0.000 0.250
Au: 0.500 0.000 0.750
Br: 0.000 0.000 0.500
Br: 0.500 0.500 0.000

=====

Entry from the Alexandria database: a relaxed Cd3BrN crystal (PBE-GGA).

E_form (uncorrected), kcal/mol of atoms: 5.49
Space group: Pm-3m
Magnetic moment, μB per atom: 0.00
ΔE to the lowest computed polymorph, eV/atom: 0.0000

a b c (Å): 4.819 4.819 4.819
angles (deg): 90.00 90.00 90.00
Fractional coordinates of all 5 atoms:
Cd: 0.000 0.000 0.500
Cd: 0.000 0.500 0.000
Cd: 0.500 0.000 0.000
Br: 0.500 0.500 0.500
N: 0.000 0.000 0.000

=====

It is found that the E_tot values, taken in the order of the records, are -4.1835, -4.4367, -4.8619, -7.3174, -10.5159, -7.0562, -4.2297, -4.9149, -2.8992, -4.2562, -3.2898, -2.3106 eV/atom.